1.
18
Lattice="6.4495 0.0000 0.0000 0.0000 6.4495 0.0000 0.0000 0.0000 10.3006" Properties=species:S:1:pos:R:3 comment="Li4CdIn4 | the Alexandria database | PBE-GGA | relaxed" ef_kj_per_mol_fu=-59 energy_ry_per_atom=-0.1645 sg="P4_2/nmc (137)" pbc="T T T"
Cd 0.0000 0.0000 0.0000
Cd 3.2247 3.2247 5.1503
In 3.2247 1.4438 0.7724
In 1.4438 3.2247 9.5283
In 4.6686 0.0000 5.9227
In 0.0000 4.6686 4.3779
In 5.0056 3.2247 9.5283
In 1.7809 0.0000 5.9227
In 3.2247 5.0056 0.7724
In 0.0000 1.7809 4.3779
Li 3.2247 4.9176 7.9596
Li 0.0000 1.6929 7.4914
Li 4.9176 3.2247 2.3410
Li 3.2247 1.5319 7.9596
Li 1.6929 0.0000 2.8093
Li 1.5319 3.2247 2.3410
Li 4.7566 0.0000 2.8093
Li 0.0000 4.7566 7.4914

***

2.
16
Lattice="4.4673 0.0000 0.0000 0.0000 6.4327 0.0000 0.0000 0.0000 12.5570" Properties=species:S:1:pos:R:3 comment="LiCd5In2 | the Alexandria database | PBE-GGA | relaxed" ef_kj_per_mol_fu=-47 energy_ry_per_atom=-0.1144 sg="Pbam (55)" pbc="T T T"
Cd 0.0000 0.0319 3.1372
Cd 2.2337 4.7991 1.5526
Cd 0.0000 3.1844 9.4157
Cd 0.0000 6.4008 9.4197
Cd 2.2337 1.5828 4.7259
Cd 2.2337 4.8499 7.8311
Cd 0.0000 3.2164 6.2785
Cd 0.0000 0.0000 0.0000
Cd 0.0000 3.2483 3.1413
Cd 2.2337 1.6336 11.0044
In 2.2337 4.7465 11.0474
In 2.2337 1.5301 7.7881
In 2.2337 1.6862 1.5096
In 2.2337 4.9026 4.7689
Li 0.0000 0.0000 6.2785
Li 0.0000 3.2164 0.0000

***

3.
18
Lattice="8.0106 -2.6985 -4.2178 -5.4341 8.9745 -1.4855 -2.5142 -0.7281 10.2678" Properties=species:S:1:pos:R:3 comment="LiCd2In6 | the Alexandria database | PBE-GGA | relaxed" ef_kj_per_mol_fu=-16 energy_ry_per_atom=-0.1662 de_polymorph_mev_per_atom=0.0 sg="C2/c (15)" pbc="T T T"
Cd -2.4683 3.3305 1.2462
Cd 2.1402 -0.0233 1.5655
Cd -2.0779 5.5712 2.9990
Cd 2.5306 2.2175 3.3183
In -0.7299 1.2047 2.9311
In 0.1821 3.8531 4.6427
In -2.7128 4.0301 5.7562
In -0.1198 1.6949 -0.0782
In -2.7073 1.1462 6.9219
In -4.2528 6.6298 5.0225
In 0.7922 4.3433 1.6334
In 0.2759 0.7283 5.8358
In 2.7696 4.4018 -2.3574
In -0.2136 4.8197 -1.2713
In 2.7751 1.5179 -1.1917
In 4.3151 -1.0818 -0.4580
Li -2.7575 6.0603 0.1730
Li 2.8198 -0.5123 4.3915

***

4.
8
Lattice="4.6155 0.0000 0.0000 0.0000 4.6155 0.0000 0.0000 0.0000 9.4305" Properties=species:S:1:pos:R:3 comment="LiCdIn6 | the Alexandria database | PBE-GGA | relaxed" ef_kj_per_mol_fu=-34 energy_ry_per_atom=-0.1802 sg="P4/mmm (123)" pbc="T T T"
In 2.3078 2.3078 4.7153
In 2.3078 2.3078 0.0000
In 0.0000 2.3078 2.4426
In 0.0000 2.3078 6.9880
In 2.3078 0.0000 2.4426
In 2.3078 0.0000 6.9880
Li 0.0000 0.0000 4.7153
Cd 0.0000 0.0000 0.0000

***

5.
16
Lattice="4.2038 0.0000 0.0000 0.0000 4.2038 0.0000 0.0000 0.0000 16.8028" Properties=species:S:1:pos:R:3 comment="Li12Cd3In | the Alexandria database | PBE-GGA | relaxed" ef_kj_per_mol_fu=-270 energy_ry_per_atom=-0.1436 sg="P4/mmm (123)" pbc="T T T"
Li 2.1019 0.0000 14.6991
Li 2.1019 0.0000 6.2962
Li 2.1019 0.0000 2.1036
Li 2.1019 2.1019 8.4014
Li 2.1019 2.1019 12.5997
Li 2.1019 2.1019 0.0000
Li 0.0000 2.1019 2.1036
Li 2.1019 2.1019 4.2031
Li 0.0000 2.1019 14.6991
Li 0.0000 2.1019 6.2962
Li 2.1019 0.0000 10.5066
Li 0.0000 2.1019 10.5066
In 0.0000 0.0000 0.0000
Cd 0.0000 0.0000 12.6129
Cd 0.0000 0.0000 4.1898
Cd 0.0000 0.0000 8.4014

***

6.
10
Lattice="-3.1921 6.5340 2.6693 -7.0181 -3.2503 -0.4364 0.3250 -1.1232 3.1381" Properties=species:S:1:pos:R:3 comment="Li2Cd2In | the Alexandria database | PBE-GGA | relaxed" ef_kj_per_mol_fu=-76 energy_ry_per_atom=-0.1349 de_polymorph_mev_per_atom=64.6 sg="P4/mbm (127)" pbc="T T T"
In 0.0000 0.0000 0.0000
In -5.1051 1.6419 1.1164
Cd -2.0086 1.2348 2.4369
Cd -5.0040 3.8537 3.6845
Cd -4.8811 -1.6932 1.6865
Cd -7.8765 0.9258 2.9341
Li -7.2454 3.5169 2.0092
Li -3.0486 3.7342 1.6523
Li -7.1616 -0.4504 0.5806
Li -2.9647 -0.2332 0.2236

***

7.
7
Lattice="4.1971 0.7018 -0.0001 -0.7021 4.1971 -0.0001 0.0000 0.0000 7.8731" Properties=species:S:1:pos:R:3 comment="Li5CdIn | the Alexandria database | PBE-GGA | relaxed" ef_kj_per_mol_fu=-85 energy_ry_per_atom=-0.1481 de_polymorph_mev_per_atom=50.8 sg="P4/mmm (123)" pbc="T T T"
Li 3.8460 2.8004 1.8827
Li 1.3965 4.5480 1.8828
Li 0.0000 0.0000 3.9366
Li 2.0986 0.3510 5.9902
Li -0.3510 2.0986 5.9902
In 1.7475 2.4495 3.9365
Cd 0.0000 0.0000 0.0000

***

8.
11
Lattice="4.7871 0.0000 0.0000 0.0000 4.7871 0.0000 0.0000 0.0000 12.0887" Properties=species:S:1:pos:R:3 comment="Li2CdIn8 | the Alexandria database | PBE-GGA | relaxed" ef_kj_per_mol_fu=-74 energy_ry_per_atom=-0.1832 de_polymorph_mev_per_atom=7.8 sg="P4/mmm (123)" pbc="T T T"
In 0.0000 2.3935 1.8302
In 2.3935 0.0000 6.0444
In 0.0000 2.3935 6.0444
In 2.3935 2.3935 8.1853
In 2.3935 0.0000 10.2586
In 2.3935 2.3935 3.9034
In 2.3935 0.0000 1.8302
In 0.0000 2.3935 10.2586
Li 0.0000 0.0000 4.0208
Li 0.0000 0.0000 8.0680
Cd 0.0000 0.0000 0.0000

***

9.
7
Lattice="-0.8440 -2.3612 -4.3882 3.2298 -3.6484 1.3420 -6.7314 -0.7610 4.6147" Properties=species:S:1:pos:R:3 comment="LiCd4In2 | the Alexandria database | PBE-GGA | relaxed" ef_kj_per_mol_fu=104 energy_ry_per_atom=-0.1047 de_polymorph_mev_per_atom=183.0 sg="I4/mmm (139)" pbc="T T T"
Cd 1.6149 -1.8242 0.6710
Cd -2.3799 -5.4341 0.4712
Cd -1.9658 -1.3366 1.0973
Cd -0.4220 -1.1806 -2.1941
In -0.2017 -3.9531 -0.7446
In -4.1439 -2.8176 2.3131
Li 0.0000 0.0000 0.0000

***

10.
11
Lattice="-1.2980 -2.7045 -1.1659 -2.0144 -2.0686 7.0416 -10.5452 4.1324 6.5969" Properties=species:S:1:pos:R:3 comment="Li2Cd5In4 | the Alexandria database | PBE-GGA | relaxed" ef_kj_per_mol_fu=-62 energy_ry_per_atom=-0.1337 sg="C2/m (12)" pbc="T T T"
Li -2.9633 -2.1417 3.8251
Li -10.8942 1.5010 8.6475
Cd -7.4167 -0.2797 4.4640
Cd -9.3520 -1.1873 8.7240
Cd -6.4409 -0.3610 8.0086
Cd -0.6490 -1.3523 -0.5829
Cd -4.5056 0.5466 3.7485
In -11.9430 -0.6558 10.3760
In -1.9146 0.0151 2.0966
In -8.7623 1.3252 6.6815
In -5.0953 -1.9660 5.7911

***

11.
9
Lattice="-1.7860 3.9963 1.9271 -2.5148 -0.2199 4.0665 7.5919 1.0940 4.7552" Properties=species:S:1:pos:R:3 comment="Li4Cd2In3 | the Alexandria database | PBE-GGA | relaxed" ef_kj_per_mol_fu=-209 energy_ry_per_atom=-0.1622 sg="P-3m1 (164)" pbc="T T T"
In 0.0000 0.0000 0.0000
In 1.8184 1.7271 4.0345
In 1.4727 3.1433 6.7144
Li -0.6149 1.3775 2.5101
Li -0.0472 0.1367 5.6112
Li 3.3384 4.7337 5.1377
Li 3.9060 3.4929 8.2388
Cd -1.2989 2.7447 4.9775
Cd 4.5901 2.1257 5.7714

***

12.
18
Lattice="6.0013 0.0000 0.0000 0.0000 8.2209 0.0000 0.0000 -4.1104 7.1196" Properties=species:S:1:pos:R:3 comment="Li5Cd3In | the Alexandria database | PBE-GGA | relaxed" ef_kj_per_mol_fu=-168 energy_ry_per_atom=-0.1372 sg="P6_3/mcm (193)" pbc="T T T"
Li 4.5010 6.9329 2.2309
Li 0.0000 0.0000 4.7463
Li 1.5003 5.6455 0.0000
Li 4.5010 2.5754 0.0000
Li 4.5010 2.8224 4.8887
Li 1.5003 1.2880 2.2309
Li 1.5003 -2.8224 4.8887
Li 3.0006 0.0000 4.7463
Li 0.0000 4.1105 2.3733
Li 3.0006 4.1105 2.3733
Cd 1.5003 6.7538 2.5408
Cd 1.5003 2.6434 4.5788
Cd 4.5010 1.4671 2.5408
Cd 4.5010 5.2867 0.0000
Cd 1.5003 2.9342 0.0000
Cd 4.5010 -2.6434 4.5788
In 0.0000 0.0000 0.0000
In 3.0006 0.0000 0.0000

***

13.
17
Lattice="5.8975 0.0000 0.0000 0.0000 7.0489 -4.0697 0.0000 0.0000 8.1394" Properties=species:S:1:pos:R:3 comment="Li6Cd10In | the Alexandria database | PBE-GGA | relaxed" ef_kj_per_mol_fu=-298 energy_ry_per_atom=-0.1144 sg="P-31m (162)" pbc="T T T"
Cd 4.8892 2.0720 -1.1963
Cd 0.0000 2.3496 4.0697
Cd 4.8892 4.9769 2.8734
Cd 0.0000 4.6993 0.0000
Cd 2.9488 4.6993 0.0000
Cd 4.8892 0.0000 2.3926
Cd 2.9488 2.3496 4.0697
Cd 1.0083 0.0000 5.7469
Cd 1.0083 4.9769 -2.8734
Cd 1.0083 2.0720 1.1963
Li 1.9197 4.5572 2.6311
Li 3.9779 0.0000 5.2622
Li 1.9197 2.4917 -1.4386
Li 1.9197 0.0000 2.8772
Li 3.9779 4.5572 -2.6311
Li 3.9779 2.4917 1.4386
In 2.9488 0.0000 0.0000

***

14.
16
Lattice="4.9607 0.0000 0.0000 -2.4804 9.1844 0.0000 0.0000 0.0000 9.3276" Properties=species:S:1:pos:R:3 comment="LiCd2In5 | the Alexandria database | PBE-GGA | relaxed" ef_kj_per_mol_fu=-1 energy_ry_per_atom=-0.1603 de_polymorph_mev_per_atom=31.4 sg="Cmcm (63)" pbc="T T T"
Cd 0.0000 4.1191 5.4512
Cd 2.4804 5.0653 0.7874
Cd 0.0000 4.1191 8.5402
Cd 2.4804 5.0653 3.8764
In 0.0000 7.0191 0.8721
In 2.4804 7.9208 8.5914
In 0.0000 1.2636 0.7362
In 2.4804 2.1653 8.4555
In 2.4804 2.2884 2.3319
In 2.4804 2.1653 5.5359
In 0.0000 6.8959 6.9957
In 2.4804 7.9208 5.4000
In 0.0000 7.0191 3.7917
In 0.0000 1.2636 3.9276
Li 0.0000 4.1982 2.3319
Li 2.4804 4.9862 6.9957

***

15.
9
Lattice="-2.0882 0.0784 -3.9394 -1.7389 -4.7973 -1.6695 -8.3993 -1.4648 4.5130" Properties=species:S:1:pos:R:3 comment="Li2Cd4In3 | the Alexandria database | PBE-GGA | relaxed" ef_kj_per_mol_fu=-107 energy_ry_per_atom=-0.1373 sg="P-1 (2)" pbc="T T T"
Cd -7.4033 -5.7433 1.3667
Cd -4.8230 -0.4404 -2.4626
Cd -10.0289 -4.4449 0.2805
Cd -2.1974 -1.7388 -1.3764
In -4.9253 -2.2636 0.0926
In -7.3010 -3.9201 -1.1885
In 0.0000 0.0000 0.0000
Li -7.8542 -2.6739 1.6662
Li -4.3721 -3.5098 -2.7621

***

16.
14
Lattice="8.0939 0.0000 0.0000 0.0000 8.0939 0.0000 0.0000 0.0000 8.0939" Properties=species:S:1:pos:R:3 comment="LiCd3In3 | the Alexandria database | PBE-GGA | relaxed" ef_kj_per_mol_fu=233 energy_ry_per_atom=-0.1098 de_polymorph_mev_per_atom=410.3 sg="Pm-3n (223)" pbc="T T T"
In 0.0000 4.0469 2.0235
In 2.0235 0.0000 4.0469
In 4.0469 6.0704 0.0000
In 6.0704 0.0000 4.0469
In 0.0000 4.0469 6.0704
In 4.0469 2.0235 0.0000
Cd 2.0235 4.0469 0.0000
Cd 4.0469 0.0000 6.0704
Cd 6.0704 4.0469 0.0000
Cd 4.0469 0.0000 2.0235
Cd 0.0000 6.0704 4.0469
Cd 0.0000 2.0235 4.0469
Li 0.0000 0.0000 0.0000
Li 4.0469 4.0469 4.0469

***

17.
10
Lattice="4.4407 0.0000 -1.0759 -0.6677 7.7567 -2.7559 -0.4493 -0.9931 7.8479" Properties=species:S:1:pos:R:3 comment="LiCd4In5 | the Alexandria database | PBE-GGA | relaxed" ef_kj_per_mol_fu=-5 energy_ry_per_atom=-0.1420 sg="C2/m (12)" pbc="T T T"
Cd 3.7696 0.8387 5.8566
Cd 1.1251 -0.0875 4.6439
Cd -0.4460 5.9249 -1.8407
Cd 2.1986 6.8511 -0.6279
In 0.2529 4.2710 1.0439
In 0.4657 1.1422 1.9220
In 1.4372 2.8852 5.9319
In 2.8580 5.6214 2.0940
In 3.0707 2.4927 2.9720
Li 1.7711 -0.9931 7.3099

***

18.
20
Lattice="-7.5323 -1.6517 0.8130 -0.5881 -1.0134 -7.5075 1.7801 -5.9900 4.3229" Properties=species:S:1:pos:R:3 comment="Li6Cd3In | the Alexandria database | PBE-GGA | relaxed" ef_kj_per_mol_fu=-168 energy_ry_per_atom=-0.1375 de_polymorph_mev_per_atom=67.5 sg="Cmc2_1 (36)" pbc="T T T"
Li -7.3968 -3.7002 -4.1474
Li -2.9244 -1.5549 -7.1912
Li -0.2953 -4.5911 -3.2206
Li -4.0802 -3.6332 0.6368
Li -5.5141 -5.8787 -4.2927
Li -0.7862 -7.0739 0.1052
Li -1.4928 -2.9226 1.9929
Li -3.6179 -6.3491 -0.5982
Li -0.7576 -1.8752 -1.9855
Li -2.2913 -5.6890 2.1371
Li -4.3475 -7.3045 4.9201
Li -6.2206 -1.7274 -2.4049
Cd -3.4937 -2.3559 -1.7491
Cd -6.7804 -4.1893 1.0525
Cd -5.6821 -4.4969 -1.7535
Cd -1.5872 -4.3619 -0.5179
Cd -6.2927 -7.0548 -0.2506
Cd -3.0060 -5.2215 -3.0522
In 0.5031 -5.1329 1.9601
In -4.6512 -3.0415 -4.5683

***

19.
9
Lattice="4.3557 0.0000 0.9323 1.9767 4.8638 1.4061 0.2177 -0.1073 9.6245" Properties=species:S:1:pos:R:3 comment="Li2Cd3In4 | the Alexandria database | PBE-GGA | relaxed" ef_kj_per_mol_fu=-103 energy_ry_per_atom=-0.1518 sg="C2/m (12)" pbc="T T T"
In 4.0205 2.6916 2.4987
In 5.7465 3.2685 5.0760
In 2.5296 2.0649 9.4642
In 0.8036 1.4880 6.8869
Li 1.7244 0.5252 2.5847
Li 4.8257 4.2313 9.3782
Cd 0.0000 0.0000 0.0000
Cd 3.4476 1.0197 5.1751
Cd 3.1025 3.7369 6.7878

***

20.
4
Lattice="5.1277 0.0350 0.0807 4.1253 3.0457 0.0807 1.0835 0.3607 5.9646" Properties=species:S:1:pos:R:3 comment="LiCdIn2 | the Alexandria database | PBE-GGA | relaxed" ef_kj_per_mol_fu=-45 energy_ry_per_atom=-0.1611 sg="C2/m (12)" pbc="T T T"
In 1.1266 0.3751 5.8891
In 5.1251 1.7064 3.1385
Cd 2.5841 0.8604 1.5315
Li 7.7524 2.5811 4.5945